# 1
First-principles (GGA-PBE) data for a geometry-optimized Dy9Sc4Zn11 structure, as listed in Alexandria.

Cell: 13.0012 13.0012 3.3595 Å, 90.00 90.00 111.16°
Last column: nearest neighbours and their distance in Å.
Positions (direct):
Dy 0.0000 0.0000 0.0000  4 Sc 3.03, 2 Dy 3.36, 4 Zn 3.39
Dy 0.1280 0.6406 0.0000  8 Zn 3.01-3.30, 1 Sc 3.23, 2 Dy 3.36
Dy 0.2909 0.4574 0.0000  8 Zn 3.06-3.22, 1 Sc 3.27, 2 Dy 3.36
Dy 0.3594 0.8720 0.0000  8 Zn 3.01-3.30, 1 Sc 3.23, 2 Dy 3.36
Dy 0.4574 0.2909 0.0000  8 Zn 3.06-3.22, 1 Sc 3.27, 2 Dy 3.36
Dy 0.5426 0.7091 0.0000  8 Zn 3.06-3.22, 1 Sc 3.27, 2 Dy 3.36
Dy 0.6406 0.1280 0.0000  8 Zn 3.01-3.30, 1 Sc 3.23, 2 Dy 3.36
Dy 0.7091 0.5426 0.0000  8 Zn 3.06-3.22, 1 Sc 3.27, 2 Dy 3.36
Dy 0.8720 0.3594 0.0000  8 Zn 3.01-3.30, 1 Sc 3.23, 2 Dy 3.36
Sc 0.0575 0.2477 0.0000  6 Zn 2.89-2.95, 2 Dy 3.03-3.23
Sc 0.2477 0.0575 0.0000  6 Zn 2.89-2.95, 2 Dy 3.03-3.23
Sc 0.7523 0.9425 0.0000  6 Zn 2.89-2.95, 2 Dy 3.03-3.23
Sc 0.9425 0.7523 0.0000  6 Zn 2.89-2.95, 2 Dy 3.03-3.23
Zn 0.0833 0.4369 0.5000  2 Sc 2.90, 6 Dy 3.01-3.11, 1 Zn 3.15
Zn 0.1375 0.8625 0.5000  4 Sc 2.95
Zn 0.2320 0.2320 0.5000  4 Sc 2.89, 4 Dy 3.22
Zn 0.3347 0.6653 0.5000  8 Dy 3.06-3.09, 2 Zn 3.36
Zn 0.4369 0.0833 0.5000  2 Sc 2.90, 6 Dy 3.01-3.11, 1 Zn 3.15
Zn 0.5000 0.5000 0.5000  8 Dy 3.07, 2 Zn 3.36
Zn 0.5631 0.9167 0.5000  2 Sc 2.90, 6 Dy 3.01-3.11, 1 Zn 3.15
Zn 0.6653 0.3347 0.5000  8 Dy 3.06-3.09, 2 Zn 3.36
Zn 0.7680 0.7680 0.5000  4 Sc 2.89, 4 Dy 3.22
Zn 0.8625 0.1375 0.5000  4 Sc 2.95
Zn 0.9167 0.5631 0.5000  2 Sc 2.90, 6 Dy 3.01-3.11, 1 Zn 3.15

Results
As for the magnetic moment: 0.7 μB/f.u. The formation energy from the elements is -6.04 eV per formula unit. The crystal system is orthorhombic.

# 2
First-principles (GGA-PBE) data for a geometry-optimized LaZr2ScFe structure, as listed in Alexandria.

Cell: 4.9658 4.9658 4.9941 Å, 90.00 90.00 90.00°
Last column: nearest neighbours and their distance in Å.
Positions (direct):
La 0.0000 0.0000 0.0000  4 Sc 3.51, 8 Zr 3.52
Zr 0.0000 0.5000 0.5000  2 Fe 2.48
Zr 0.5000 0.0000 0.5000  2 Fe 2.48
Sc 0.5000 0.5000 0.0000  2 Fe 2.50
Fe 0.5000 0.5000 0.5000  4 Zr 2.48, 2 Sc 2.50

Results
As for the magnetic moment: 0.0 μB/f.u. The formation energy from the elements is 0.40 eV per formula unit. The crystal system is tetragonal.

# 3
First-principles (GGA-PBE) data for a geometry-optimized CaGd2Ga structure, as listed in Alexandria.

Cell: 3.6247 3.6247 9.3328 Å, 90.00 90.00 90.00°
Last column: nearest neighbours and their distance in Å.
Positions (direct):
Ca 0.0000 0.0000 0.0000  4 Ca 3.62, 8 Gd 3.90
Gd 0.5000 0.5000 0.3145  4 Ga 3.09, 1 Gd 3.46
Gd 0.5000 0.5000 0.6855  4 Ga 3.09, 1 Gd 3.46
Ga 0.0000 0.0000 0.5000  8 Gd 3.09

Results
As for the magnetic moment: 15.1 μB/f.u. The formation energy from the elements is -1.00 eV per formula unit. The crystal system is tetragonal.